Here is a relaxed structure of PaTl2V3O12 from Alexandria. Energies are from PBE+U.

```
18
Lattice="-2.931 0.692 -5.609 4.203 -0.422 -4.763 -0.531 -5.626 -2.932" Properties=species:S:1:pos:R:3 pbc="T T T"
Tl 0.449 -3.246 -8.062
Tl 0.292 -2.111 -5.243
V 2.101 -0.211 -2.382
V -1.465 0.346 -2.805
V -0.266 -2.813 -1.466
O -1.149 -0.503 -4.398
O -1.176 -4.375 -9.269
O 1.916 -0.982 -4.035
O 0.858 -2.139 -10.056
O -2.172 -3.705 -6.795
O 2.448 -4.426 -6.247
O 1.889 -4.854 -8.906
O 2.913 -1.652 -6.509
O -0.117 -3.218 -3.248
O -1.708 -0.931 -7.057
O 0.894 -0.334 -7.981
O -0.153 -5.023 -5.323
Pa 0.000 0.000 0.000
```

Output
Density   7.5 g/cm3
Crystal system   trigonal
Magnetic moment   0.000 μB/f.u.
Uncorrected energy   -127.77 eV per cell